Entry 1:
A relaxed structure of KAlGa2Au, computed with PBE.

POSCAR file:
```
KAlGa2Au
1.0
4.4361 0.0000 0.0000
0.0000 4.4361 0.0000
0.0000 0.0000 11.3511
K Al Ga Au
2 2 4 2
Direct
0.0000 0.0000 0.0000 K
0.5000 0.5000 0.5000 K
0.0000 0.5000 0.7500 Al
0.5000 0.0000 0.2500 Al
0.0000 0.0000 0.3814 Ga
0.0000 0.0000 0.6186 Ga
0.5000 0.5000 0.1186 Ga
0.5000 0.5000 0.8814 Ga
0.0000 0.5000 0.2500 Au
0.5000 0.0000 0.7500 Au
```

DFT total energy   -3.009 eV per atom

***

Entry 2:
A relaxed structure of KAlGaAu, computed with PBE.

POSCAR file:
```
KAlGaAu
1.0
6.9505 0.0000 0.0000
0.0000 6.9505 0.0000
0.0000 0.0000 6.9505
K Al Ga Au
4 4 4 4
Direct
0.0000 0.0000 0.0000 K
0.0000 0.5000 0.5000 K
0.5000 0.0000 0.5000 K
0.5000 0.5000 0.0000 K
0.2500 0.2500 0.7500 Al
0.2500 0.7500 0.2500 Al
0.7500 0.2500 0.2500 Al
0.7500 0.7500 0.7500 Al
0.2500 0.2500 0.2500 Ga
0.2500 0.7500 0.7500 Ga
0.7500 0.2500 0.7500 Ga
0.7500 0.7500 0.2500 Ga
0.0000 0.0000 0.5000 Au
0.0000 0.5000 0.0000 Au
0.5000 0.0000 0.0000 Au
0.5000 0.5000 0.5000 Au
```

E above lowest polymorph   0.0114 eV per atom

***

Entry 3:
A relaxed structure of KAlGaAu, computed with PBE.

POSCAR file:
```
KAlGaAu
1.0
7.0925 0.0000 0.0000
0.0000 7.0925 0.0000
0.0000 0.0000 7.0925
K Al Ga Au
4 4 4 4
Direct
0.0000 0.0000 0.0000 K
0.0000 0.5000 0.5000 K
0.5000 0.0000 0.5000 K
0.5000 0.5000 0.0000 K
0.0000 0.0000 0.5000 Al
0.0000 0.5000 0.0000 Al
0.5000 0.0000 0.0000 Al
0.5000 0.5000 0.5000 Al
0.2500 0.2500 0.2500 Ga
0.2500 0.7500 0.7500 Ga
0.7500 0.2500 0.7500 Ga
0.7500 0.7500 0.2500 Ga
0.2500 0.2500 0.7500 Au
0.2500 0.7500 0.2500 Au
0.7500 0.2500 0.2500 Au
0.7500 0.7500 0.7500 Au
```

E above lowest polymorph   0.0000 eV per atom

***

Entry 4:
A relaxed structure of Li2AlGaAu4, computed with PBE.

POSCAR file:
```
Li2AlGaAu4
1.0
4.4680 0.0000 0.0000
0.0000 4.4680 0.0000
0.0000 0.0000 6.3198
Li Al Ga Au
2 1 1 4
Direct
0.0000 0.0000 0.0000 Li
0.5000 0.5000 0.5000 Li
0.0000 0.0000 0.5000 Al
0.5000 0.5000 0.0000 Ga
0.0000 0.5000 0.2580 Au
0.0000 0.5000 0.7481 Au
0.5000 0.0000 0.2519 Au
0.5000 0.0000 0.7420 Au
```

DFT total energy   -3.455 eV per atom

***

Entry 5:
A relaxed structure of Li2AlGaAu2, computed with PBE.

POSCAR file:
```
Li2AlGaAu2
1.0
4.4825 0.0000 0.0000
-2.2413 3.8820 0.0000
0.0000 0.0000 5.5804
Li Al Ga Au
2 1 1 2
Direct
0.0000 0.0000 0.2485 Li
0.0000 0.0000 0.7515 Li
0.3333 0.6667 0.5000 Al
0.6667 0.3333 0.0000 Ga
0.3333 0.6667 0.0000 Au
0.6667 0.3333 0.5000 Au
```

DFT total energy   -3.368 eV per atom

***

Entry 6:
A relaxed structure of Li2Sc2AlGaAu2, computed with PBE.

POSCAR file:
```
Li2Sc2AlGaAu2
1.0
4.5436 0.0000 0.0000
0.0000 4.5436 0.0000
0.0000 0.0000 6.4278
Li Sc Al Ga Au
2 2 1 1 2
Direct
0.0000 0.5000 0.2475 Li
0.5000 0.0000 0.7525 Li
0.0000 0.0000 0.5000 Sc
0.5000 0.5000 0.0000 Sc
0.5000 0.5000 0.5000 Al
0.0000 0.0000 0.0000 Ga
0.0000 0.5000 0.7435 Au
0.5000 0.0000 0.2565 Au
```

DFT total energy   -4.365 eV per atom